DFT (PBE-GGA) results for crystalline CoW at its relaxed geometry.

Properties
V (Å³/cell): 53.5
DFT total energy (eV per atom): -9.909
Space group: Pmmn, No. 59

Geometry as POSCAR:
```
CoW
1.0
-0.949 -2.457 1.453
2.997 -0.586 0.967
-0.879 3.040 4.568
W Co
2 2
direct
0.000 0.000 0.532
0.500 0.500 0.218
0.000 0.000 0.999
0.500 0.500 0.751
```

***

DFT (PBE-GGA) results for crystalline Sm3Er2Tm at its relaxed geometry.

Properties
V (Å³/cell): 393.9
DFT total energy (eV per atom): -4.519
Space group: C2/m, No. 12
E above lowest polymorph (meV/atom): 101

Geometry as POSCAR:
```
Sm3Er2Tm
1.0
-2.750 -2.176 -0.379
0.293 -2.110 -6.416
9.102 -14.709 2.012
Sm Er Tm
6 4 2
direct
0.068 0.032 0.833
0.735 0.866 0.663
0.265 0.134 0.337
0.932 0.968 0.167
0.372 0.267 0.989
0.628 0.733 0.011
0.368 0.764 0.500
0.632 0.236 0.500
0.802 0.561 0.834
0.198 0.439 0.166
0.540 0.603 0.317
0.460 0.397 0.683
```

***

DFT (PBE-GGA) results for crystalline V8PC2 at its relaxed geometry.

Properties
V (Å³/cell): 127.7
DFT total energy (eV per atom): -9.092
Space group: C2/m, No. 12

Geometry as POSCAR:
```
V8PC2
1.0
4.264 -0.008 -0.012
-0.712 5.717 -0.043
-0.712 -2.242 5.259
V P C
8 1 2
direct
0.904 0.668 0.925
0.701 0.390 0.390
0.096 0.332 0.075
0.299 0.610 0.610
0.096 0.075 0.332
0.904 0.925 0.668
0.500 0.246 0.754
0.500 0.754 0.246
0.500 0.000 0.000
0.000 0.314 0.686
0.000 0.686 0.314
```

***

Which formation energy from the elements belongs to each record? In order, 0.121 0.107 -0.292 eV per atom.